Entry from OQMD: crystalline Ta4SnSbN2 at its relaxed geometry (PBE).

Lattice parameters (Å, degrees): 3.2964 3.2964 13.3038 90.00 90.00 120.00
Space group P-6m2 (No. 187)
One atom of each set of equivalent atoms:
Ta 0.0000 0.0000 0.1662 [2 per cell]
Ta 0.3333 0.6667 0.3291 [2 per cell]
Sn 0.0000 0.0000 0.5000 [1 per cell]
Sb 0.3333 0.6667 0.0000 [1 per cell]
N 0.6667 0.3333 0.2469 [2 per cell]

electronic total energy	-9.3681	eV per atom
mass density	13.161	Mg/m³
total moment	0.00	Bohr magnetons per cell